[1]
This record from Alexandria describes a relaxed structure of CoSb2WBr. The functional is PBE.

Properties
The value obtained for the total magnetization is 3.70 μB per formula unit. The calculated density is 7.49 Mg/m³.

Cell lengths 5.4718, 5.4718, 4.1914 Å; angles 90.00, 90.00, 90.00 degrees
Space group P4/mmm (No. 123)
Inequivalent atoms, fractional coordinates:
Co  0.0000  0.0000  0.0000 x1
Sb  0.0000  0.5000  0.5000 x2
W  0.5000  0.5000  0.0000 x1
Br  0.0000  0.0000  0.5000 x1

***

[2]
This record from Alexandria describes a relaxed structure of ScCo2Br. The functional is PBE.

Properties
The value obtained for the total magnetization is 2.91 μB per formula unit. The calculated density is 5.86 Mg/m³.

Cell lengths 3.7122, 3.7122, 19.9601 Å; angles 90.00, 90.00, 90.00 degrees
Space group I-42d (No. 122)
Inequivalent atoms, fractional coordinates:
Sc  0.0000  0.0000  0.0000 x4
Co  0.1953  0.2500  0.1250 x8
Br  0.0000  0.0000  0.5000 x4

***

[3]
This record from Alexandria describes a relaxed structure of ScCo2Br. The functional is PBE.

Properties
The value obtained for the total magnetization is 2.11 μB per formula unit. The calculated density is 5.31 Mg/m³.

Cell lengths 9.3084, 3.2993, 4.9641 Å; angles 90.00, 95.13, 90.00 degrees
Space group C2/m (No. 12)
Inequivalent atoms, fractional coordinates:
Sc  0.0000  0.0000  0.0000 x2
Co  0.2078  0.5000  0.8580 x4
Br  0.0000  0.5000  0.5000 x2

***

[4]
This record from Alexandria describes a relaxed structure of ScCo2Br. The functional is PBE.

Properties
The value obtained for the total magnetization is 2.65 μB per formula unit. The calculated density is 5.93 Mg/m³.

Cell lengths 3.1512, 3.1512, 23.7028 Å; angles 90.00, 90.00, 120.00 degrees
Space group R-3m (No. 166, hexagonal axes)
Inequivalent atoms, fractional coordinates:
Sc  0.0000  0.0000  0.0000 x3
Co  0.0000  0.0000  0.2480 x6
Br  0.0000  0.0000  0.5000 x3

***

[5]
This record from Alexandria describes a relaxed structure of ScCo2Br. The functional is PBE.

Properties
The value obtained for the total magnetization is 2.13 μB per formula unit. The calculated density is 5.61 Mg/m³.

Cell lengths 3.3428, 3.6966, 5.8137 Å; angles 90.00, 90.20, 90.00 degrees
Space group P2/m (No. 10)
Inequivalent atoms, fractional coordinates:
Sc  0.0000  0.0000  0.0000 x1
Co  0.4991  0.5000  0.8126 x2
Br  0.5000  0.0000  0.5000 x1

***

[6]
This record from Alexandria describes a relaxed structure of Sc7CoBr12. The functional is PBE.

Properties
The value obtained for the total magnetization is 0.11 μB per formula unit. The calculated density is 3.99 Mg/m³.

Cell lengths 14.0648, 14.0648, 9.7210 Å; angles 90.00, 90.00, 120.00 degrees
Space group R-3 (No. 148, hexagonal axes)
Inequivalent atoms, fractional coordinates:
Sc  0.0000  0.0000  0.0000 x3
Sc  0.0436  0.1592  0.3609 x18
Co  0.0000  0.0000  0.5000 x3
Br  0.0237  0.5868  0.1575 x18
Br  0.0491  0.1721  0.8359 x18

***

Sequential N(E_F) output: 5.88, 5.16, 4.26, 6.57, 1.65, 11.63 states/eV/f.u.
Sequential formation energy from raw total energies output: 8.99, 0.93, 0.41, 1.53, 0.08, -29.40 eV/f.u.